1.
# RbPrZnO3, optimized geometry, DFT PBE
data_RbPrZnO3
_chemical_formula_sum 'Rb2 Pr2 Zn2 O6'
_cell_length_a 8.1032
_cell_length_b 3.6962
_cell_length_c 8.3413
_cell_angle_alpha 90.00
_cell_angle_beta 104.06
_cell_angle_gamma 90.00
_space_group_name_H-M_alt 'P 1 21/m 1'
_space_group_IT_number 11
loop_
_space_group_symop_operation_xyz
'x,y,z'
'-x,-y,-z'
'-x,y+1/2,-z'
'x,-y+1/2,z'
loop_
_atom_site_label
_atom_site_type_symbol
_atom_site_fract_x
_atom_site_fract_y
_atom_site_fract_z
Rb1 Rb 0.1845 0.2500 0.2031
Pr1 Pr 0.3497 0.7500 0.8448
Zn1 Zn 0.0779 0.2500 0.6118
O1 O 0.1517 0.2500 0.8493
O2 O 0.1561 0.7500 0.5402
O3 O 0.4539 0.7500 0.1316
# Crystal system = monoclinic
# Uncorrected energy = -5.758 eV per atom
# Mass density = 4.66 g cm⁻³
# Total moment = 0.00 μB/cell

***

2.
# Rb2PrZn2O4, optimized geometry, DFT PBE
data_Rb2PrZn2O4
_chemical_formula_sum 'Rb4 Pr2 Zn4 O8'
_cell_length_a 14.5614
_cell_length_b 3.5354
_cell_length_c 6.9436
_cell_angle_alpha 90.00
_cell_angle_beta 106.67
_cell_angle_gamma 90.00
_space_group_name_H-M_alt 'C 1 2/m 1'
_space_group_IT_number 12
loop_
_space_group_symop_operation_xyz
'x,y,z'
'-x,-y,-z'
'-x,y,-z'
'x,-y,z'
'x+1/2,y+1/2,z'
'-x+1/2,-y+1/2,-z'
'-x+1/2,y+1/2,-z'
'x+1/2,-y+1/2,z'
loop_
_atom_site_label
_atom_site_type_symbol
_atom_site_fract_x
_atom_site_fract_y
_atom_site_fract_z
Rb1 Rb 0.1321 0.0000 0.0637
Pr1 Pr 0.0000 0.0000 0.5000
Zn1 Zn 0.1836 0.5000 0.5320
O1 O 0.0516 0.5000 0.3195
O2 O 0.1746 0.0000 0.6842
# Crystal system = monoclinic
# Uncorrected energy = -4.869 eV per atom
# Mass density = 4.91 g cm⁻³
# Total moment = 0.00 μB/cell

***

3.
# Pr3Re2O9, optimized geometry, DFT PBE
data_Pr3Re2O9
_chemical_formula_sum 'Pr6 Re4 O18'
_cell_length_a 5.6565
_cell_length_b 6.9311
_cell_length_c 11.1443
_cell_angle_alpha 77.07
_cell_angle_beta 75.60
_cell_angle_gamma 68.80
_space_group_name_H-M_alt 'P -1'
_space_group_IT_number 2
loop_
_space_group_symop_operation_xyz
'x,y,z'
'-x,-y,-z'
loop_
_atom_site_label
_atom_site_type_symbol
_atom_site_fract_x
_atom_site_fract_y
_atom_site_fract_z
Pr1 Pr 0.0081 0.2167 0.2703
Pr2 Pr 0.2282 0.1572 0.8841
Pr3 Pr 0.2929 0.6014 0.3733
Re1 Re 0.3508 0.1248 0.5690
Re2 Re 0.4831 0.6119 0.9082
O1 O 0.0652 0.1140 0.7168
O2 O 0.0869 0.2192 0.4716
O3 O 0.1353 0.8098 0.9391
O4 O 0.1862 0.5010 0.1958
O5 O 0.2913 0.4200 0.5822
O6 O 0.3482 0.4752 0.8185
O7 O 0.3940 0.1690 0.0739
O8 O 0.3983 0.8127 0.5901
O9 O 0.4122 0.9279 0.3151
# Crystal system = triclinic
# Uncorrected energy = -8.549 eV per atom
# Mass density = 7.99 g cm⁻³
# Total moment = 0.00 μB/cell

***

Q: What is the uncorrected energy in the second record?
A: -4.869 eV per atom